# 1
VZn2Cu | the Alexandria database | GGA-PBE | relaxed; energy above the lowest structure with this stoichiometry = 99 meV per atom; ΔE_f = 53.2 meV/atom; magnetic moment = 1.61 μB per formula unit; space group = P4/mmm, No. 123; crystal system = tetragonal; DOS(E_F) = 2.47 states/eV/cell
1.0
3.817 0.000 0.000
0.000 3.817 0.000
0.000 0.000 3.789
V Zn Cu
1 2 1
direct
0.000 0.000 0.000 V
0.000 0.500 0.500 Zn
0.500 0.000 0.500 Zn
0.500 0.500 0.000 Cu

# 2
VZnCu2 | the Alexandria database | GGA-PBE | relaxed; ΔE_f = 20.4 meV/atom; magnetic moment = 0.00 μB per formula unit; space group = P4/mmm, No. 123; crystal system = tetragonal; DOS(E_F) = 3.55 states/eV/cell
1.0
2.629 0.000 0.000
0.000 2.629 0.000
0.000 0.000 7.426
V Zn Cu
1 1 2
direct
0.000 0.000 0.000 V
0.000 0.000 0.500 Zn
0.500 0.500 0.253 Cu
0.500 0.500 0.747 Cu

# 3
VZnCu2 | the Alexandria database | GGA-PBE | relaxed; ΔE_f = 76.2 meV/atom; magnetic moment = 0.10 μB per formula unit; space group = Pmmm, No. 47; crystal system = orthorhombic; DOS(E_F) = 2.81 states/eV/cell
1.0
2.535 0.000 0.000
0.000 3.781 0.000
0.000 0.000 5.393
V Zn Cu
1 1 2
direct
0.000 0.000 0.000 V
0.000 0.000 0.500 Zn
0.500 0.500 0.245 Cu
0.500 0.500 0.755 Cu

# 4
VZn6Cu | the Alexandria database | GGA-PBE | relaxed; energy above the lowest structure with this stoichiometry = 0 meV per atom; ΔE_f = 4.0 meV/atom; magnetic moment = 1.64 μB per formula unit; space group = P4/mmm, No. 123; crystal system = tetragonal; DOS(E_F) = 4.41 states/eV/cell
1.0
3.878 0.000 0.000
0.000 3.878 0.000
0.000 0.000 7.532
V Zn Cu
1 6 1
direct
0.000 0.000 0.000 V
0.000 0.500 0.255 Zn
0.000 0.500 0.745 Zn
0.500 0.000 0.255 Zn
0.500 0.000 0.745 Zn
0.500 0.500 0.000 Zn
0.500 0.500 0.500 Zn
0.000 0.000 0.500 Cu

# 5
VZn3Cu | the Alexandria database | GGA-PBE | relaxed; energy above the lowest structure with this stoichiometry = 0 meV per atom; ΔE_f = 22.7 meV/atom; magnetic moment = 0.00 μB per formula unit; space group = C2/m, No. 12; crystal system = monoclinic; DOS(E_F) = 4.39 states/eV/cell
1.0
7.693 -1.615 0.000
7.693 1.615 0.000
-1.144 0.000 5.573
V Zn Cu
2 6 2
direct
0.208 0.208 0.365 V
0.792 0.792 0.635 V
0.000 0.000 0.236 Zn
0.000 0.000 0.764 Zn
0.195 0.195 0.855 Zn
0.400 0.400 0.461 Zn
0.600 0.600 0.539 Zn
0.805 0.805 0.145 Zn
0.397 0.397 0.944 Cu
0.603 0.603 0.056 Cu

# 6
VZnCu | the Alexandria database | GGA-PBE | relaxed; ΔE_f = 13.4 meV/atom; magnetic moment = 0.00 μB per formula unit; space group = I4mm, No. 107; crystal system = tetragonal; DOS(E_F) = 1.81 states/eV/cell
1.0
-1.319 1.319 5.660
1.319 -1.319 5.660
1.319 1.319 -5.660
V Zn Cu
1 1 1
direct
0.000 0.000 0.000 V
0.674 0.674 0.000 Zn
0.335 0.335 0.000 Cu

# 7
VZnCu | the Alexandria database | GGA-PBE | relaxed; ΔE_f = 99.8 meV/atom; magnetic moment = 0.00 μB per formula unit; space group = P3m1, No. 156; crystal system = trigonal; DOS(E_F) = 2.92 states/eV/cell
1.0
2.618 0.000 0.000
-1.309 2.267 0.000
0.000 0.000 6.697
V Zn Cu
1 1 1
direct
0.000 0.000 0.000 V
0.333 0.667 0.652 Zn
0.667 0.333 0.327 Cu

# 8
VZnCu | the Alexandria database | GGA-PBE | relaxed; ΔE_f = 37.8 meV/atom; magnetic moment = 0.00 μB per formula unit; space group = Pm, No. 6; crystal system = monoclinic; DOS(E_F) = 5.71 states/eV/cell
1.0
3.057 0.000 0.000
0.000 3.049 0.000
0.000 0.000 8.651
V Zn Cu
2 2 2
direct
0.000 0.000 0.000 V
0.499 0.500 0.861 V
0.999 0.000 0.343 Zn
0.999 0.000 0.673 Zn
0.498 0.500 0.513 Cu
0.499 0.500 0.183 Cu

# 9
VZn2Cu2 | the Alexandria database | GGA-PBE | relaxed; energy above the lowest structure with this stoichiometry = 0 meV per atom; ΔE_f = 105.9 meV/atom; magnetic moment = 0.80 μB per formula unit; space group = P4/mbm, No. 127; crystal system = tetragonal; DOS(E_F) = 6.34 states/eV/cell
1.0
7.199 0.000 0.000
0.000 7.199 0.000
0.000 0.000 2.585
V Zn Cu
2 4 4
direct
0.000 0.000 0.000 V
0.500 0.500 0.000 V
0.174 0.326 0.500 Zn
0.326 0.826 0.500 Zn
0.674 0.174 0.500 Zn
0.826 0.674 0.500 Zn
0.124 0.624 0.000 Cu
0.376 0.124 0.000 Cu
0.624 0.876 0.000 Cu
0.876 0.376 0.000 Cu

# 10
VZn3Cu | the Alexandria database | GGA-PBE | relaxed; energy above the lowest structure with this stoichiometry = 573 meV per atom; ΔE_f = 595.7 meV/atom; magnetic moment = 3.19 μB per formula unit; space group = Pm-3m, No. 221; crystal system = cubic; DOS(E_F) = 4.39 states/eV/cell
1.0
4.490 0.000 0.000
0.000 4.490 0.000
0.000 0.000 4.490
V Zn Cu
1 3 1
direct
0.000 0.000 0.000 V
0.000 0.500 0.500 Zn
0.500 0.000 0.500 Zn
0.500 0.500 0.000 Zn
0.500 0.500 0.500 Cu

# 11
VZn2Cu | the Alexandria database | GGA-PBE | relaxed; energy above the lowest structure with this stoichiometry = 464 meV per atom; ΔE_f = 417.3 meV/atom; magnetic moment = 2.46 μB per formula unit; space group = I-42d, No. 122; crystal system = tetragonal; DOS(E_F) = 7.70 states/eV/cell
1.0
-3.449 3.449 2.599
3.449 -3.449 2.599
3.449 3.449 -2.599
V Zn Cu
2 4 2
direct
0.000 0.000 0.000 V
0.750 0.250 0.500 V
0.149 0.625 0.024 Zn
0.375 0.399 0.524 Zn
0.601 0.125 0.976 Zn
0.875 0.851 0.476 Zn
0.250 0.750 0.500 Cu
0.500 0.500 0.000 Cu

# 12
VZnCu2 | the Alexandria database | GGA-PBE | relaxed; ΔE_f = 279.9 meV/atom; magnetic moment = 0.00 μB per formula unit; space group = R-3m, No. 166; crystal system = trigonal; DOS(E_F) = 2.92 states/eV/cell
1.0
1.284 0.741 9.383
-1.284 0.741 9.383
0.000 -1.483 9.383
V Zn Cu
1 1 2
direct
0.000 0.000 0.000 V
0.500 0.500 0.500 Zn
0.087 0.087 0.087 Cu
0.913 0.913 0.913 Cu

# 13
VZn3Cu2 | the Alexandria database | GGA-PBE | relaxed; ΔE_f = -60.2 meV/atom; magnetic moment = 0.00 μB per formula unit; space group = P4/mmm, No. 123; crystal system = tetragonal; DOS(E_F) = 2.21 states/eV/cell
1.0
2.669 0.000 0.000
0.000 2.669 0.000
0.000 0.000 11.158
V Zn Cu
1 3 2
direct
0.000 0.000 0.000 V
0.500 0.500 0.175 Zn
0.500 0.500 0.500 Zn
0.500 0.500 0.825 Zn
0.000 0.000 0.338 Cu
0.000 0.000 0.662 Cu

# 14
VZnCu2 | the Alexandria database | GGA-PBE | relaxed; ΔE_f = 140.4 meV/atom; magnetic moment = 2.44 μB per formula unit; space group = P4/mmm, No. 123; crystal system = tetragonal; DOS(E_F) = 2.50 states/eV/cell
1.0
3.830 0.000 0.000
0.000 3.830 0.000
0.000 0.000 3.667
V Zn Cu
1 1 2
direct
0.000 0.000 0.000 V
0.500 0.500 0.000 Zn
0.000 0.500 0.500 Cu
0.500 0.000 0.500 Cu

# 15
VZn2Cu | the Alexandria database | GGA-PBE | relaxed; energy above the lowest structure with this stoichiometry = 330 meV per atom; ΔE_f = 283.3 meV/atom; magnetic moment = 0.00 μB per formula unit; space group = R-3m, No. 166; crystal system = trigonal; DOS(E_F) = 3.15 states/eV/cell
1.0
1.307 0.754 9.575
-1.307 0.754 9.575
0.000 -1.509 9.575
V Zn Cu
1 2 1
direct
0.000 0.000 0.000 V
0.092 0.092 0.092 Zn
0.908 0.908 0.908 Zn
0.500 0.500 0.500 Cu

# 16
VZnCu2 | the Alexandria database | GGA-PBE | relaxed; ΔE_f = 494.9 meV/atom; magnetic moment = 2.88 μB per formula unit; space group = I-42d, No. 122; crystal system = tetragonal; DOS(E_F) = 6.12 states/eV/cell
1.0
-3.392 3.392 2.573
3.392 -3.392 2.573
3.392 3.392 -2.573
V Zn Cu
2 2 4
direct
0.000 0.000 0.000 V
0.750 0.250 0.500 V
0.250 0.750 0.500 Zn
0.500 0.500 0.000 Zn
0.138 0.125 0.513 Cu
0.375 0.862 0.987 Cu
0.612 0.625 0.487 Cu
0.875 0.388 0.013 Cu

# 17
VZn2Cu | the Alexandria database | GGA-PBE | relaxed; energy above the lowest structure with this stoichiometry = 150 meV per atom; ΔE_f = 104.1 meV/atom; magnetic moment = 1.89 μB per formula unit; space group = Fm-3m, No. 225; crystal system = cubic; DOS(E_F) = 4.77 states/eV/cell
1.0
0.000 3.017 3.017
3.017 0.000 3.017
3.017 3.017 0.000
V Zn Cu
1 2 1
direct
0.000 0.000 0.000 V
0.250 0.250 0.250 Zn
0.750 0.750 0.750 Zn
0.500 0.500 0.500 Cu

# 18
VZnCu | the Alexandria database | GGA-PBE | relaxed; ΔE_f = 245.2 meV/atom; magnetic moment = 0.00 μB per formula unit; space group = Fmmm, No. 69; crystal system = orthorhombic; DOS(E_F) = 5.33 states/eV/cell
1.0
0.000 3.396 5.035
2.460 0.000 5.035
2.460 3.396 0.000
V Zn Cu
2 2 2
direct
0.146 0.854 0.146 V
0.854 0.146 0.854 V
0.250 0.250 0.250 Zn
0.750 0.750 0.750 Zn
0.384 0.384 0.616 Cu
0.616 0.616 0.384 Cu

# 19
V2ZnCu2 | the Alexandria database | GGA-PBE | relaxed; energy above the lowest structure with this stoichiometry = 0 meV per atom; ΔE_f = 269.3 meV/atom; magnetic moment = 0.00 μB per formula unit; space group = P4/mbm, No. 127; crystal system = tetragonal; DOS(E_F) = 8.01 states/eV/cell
1.0
6.882 0.000 0.000
0.000 6.882 0.000
0.000 0.000 2.858
V Zn Cu
4 2 4
direct
0.172 0.328 0.000 V
0.328 0.828 0.000 V
0.672 0.172 0.000 V
0.828 0.672 0.000 V
0.000 0.000 0.500 Zn
0.500 0.500 0.500 Zn
0.125 0.625 0.500 Cu
0.375 0.125 0.500 Cu
0.625 0.875 0.500 Cu
0.875 0.375 0.500 Cu

# 20
VZnCu | the Alexandria database | GGA-PBE | relaxed; ΔE_f = 0.4 meV/atom; magnetic moment = 0.00 μB per formula unit; space group = P-1, No. 2; crystal system = triclinic; DOS(E_F) = 3.77 states/eV/cell
1.0
2.556 0.000 0.000
0.476 2.517 0.000
0.039 0.057 12.391
V Zn Cu
2 2 2
direct
0.248 0.249 0.083 V
0.752 0.751 0.917 V
0.246 0.245 0.410 Zn
0.754 0.755 0.590 Zn
0.253 0.254 0.752 Cu
0.747 0.746 0.248 Cu

no.,uncorrected energy (eV/cell)
1,-15.55
2,-18.50
3,-18.28
4,-20.83
5,-33.85
6,-14.45
7,-14.19
8,-28.75
9,-38.66
10,-14.06
11,-28.19
12,-17.47
13,-21.49
14,-18.02
15,-14.63
16,-33.21
17,-15.35
18,-27.51
19,-52.71
20,-28.98